1.
Compound: CsKRbAu
Source: Alexandria via LeMat-Bulk
Functional: PBE
Structure: optimized geometry

Cell lengths 5.032, 5.032, 12.406 Å; angles 78.30, 78.30, 60.00 degrees
Fractional positions:
Cs 0.474 0.474 0.577
K 0.246 0.246 0.261
Rb 0.687 0.687 0.938
Au 0.866 0.866 0.402

final energy	-1.70	eV/atom
space-group type	R3m
N(E_F)	0.636	states/eV per atom
formation energy from the elements	-15	kJ per mole of atoms
energy above the lowest structure with this stoichiometry	0.0000	eV/atom

***

2.
Compound: CsK2Rb6Au
Source: Alexandria via LeMat-Bulk
Functional: PBE
Structure: optimized geometry

Cell lengths 12.853, 12.838, 9.177 Å; angles 90.35, 134.69, 119.87 degrees
Fractional positions:
Cs 0.995 0.497 0.479
K 0.583 0.791 0.358
K 0.411 0.205 0.603
Rb 0.573 0.932 0.787
Rb 0.418 0.063 0.171
Rb 0.828 0.766 0.169
Rb 0.124 0.355 0.173
Rb 0.869 0.640 0.789
Rb 0.167 0.232 0.793
Au 0.997 0.998 0.981

final energy	-1.25	eV/atom
space-group type	P1
N(E_F)	0.788	states/eV per atom
formation energy from the elements	-3	kJ per mole of atoms

***

3.
Compound: Cs2K12RbAu3
Source: Alexandria via LeMat-Bulk
Functional: PBE
Structure: optimized geometry

Cell lengths 11.833, 11.833, 11.833 Å; angles 63.43, 63.43, 63.43 degrees
Fractional positions:
Cs 0.586 0.586 0.586
Cs 0.414 0.414 0.414
K 0.272 0.272 0.898
K 0.850 0.850 0.460
K 0.460 0.850 0.850
K 0.898 0.272 0.272
K 0.850 0.460 0.850
K 0.272 0.898 0.272
K 0.728 0.728 0.102
K 0.150 0.150 0.540
K 0.540 0.150 0.150
K 0.102 0.728 0.728
K 0.150 0.540 0.150
K 0.728 0.102 0.728
Rb 0.000 0.000 0.000
Au 0.500 0.000 0.000
Au 0.000 0.500 0.000
Au 0.000 0.000 0.500

final energy	-1.50	eV/atom
space-group type	R-3m
N(E_F)	0.691	states/eV per atom
formation energy from the elements	-7	kJ per mole of atoms

***

4.
Compound: CsK2RbAu
Source: Alexandria via LeMat-Bulk
Functional: PBE
Structure: optimized geometry

Cell lengths 6.798, 6.798, 7.006 Å; angles 90.00, 90.00, 90.00 degrees
Fractional positions:
Cs 0.500 0.500 0.500
K 0.000 0.500 0.000
K 0.500 0.000 0.000
Au 0.000 0.000 0.000
Rb 0.000 0.000 0.500

final energy	-1.56	eV/atom
space-group type	P4/mmm
N(E_F)	0.886	states/eV per atom
formation energy from the elements	-10	kJ per mole of atoms
energy above the lowest structure with this stoichiometry	0.0113	eV/atom

***

5.
Compound: Cs2KSbAu
Source: Alexandria via LeMat-Bulk
Functional: PBE
Structure: optimized geometry

Cell lengths 6.964, 6.964, 5.404 Å; angles 90.00, 90.00, 90.00 degrees
Fractional positions:
Cs 0.000 0.500 0.000
Cs 0.500 0.000 0.000
Sb 0.000 0.000 0.500
K 0.500 0.500 0.500
Au 0.000 0.000 0.000

final energy	-2.24	eV/atom
space-group type	P4/mmm
N(E_F)	0.354	states/eV per atom

***

6.
Compound: CsK2AuSe
Source: Alexandria via LeMat-Bulk
Functional: PBE
Structure: optimized geometry

Cell lengths 6.187, 6.187, 6.965 Å; angles 90.00, 90.00, 90.00 degrees
Fractional positions:
Cs 0.000 0.000 0.500
K 0.000 0.500 0.000
K 0.500 0.000 0.000
Au 0.500 0.500 0.500
Se 0.000 0.000 0.000

final energy	-2.60	eV/atom
space-group type	P4/mmm

***

7.
Compound: CsK2SiAu
Source: Alexandria via LeMat-Bulk
Functional: PBE
Structure: optimized geometry

Cell lengths 6.558, 6.558, 4.764 Å; angles 90.00, 90.00, 90.00 degrees
Fractional positions:
Cs 0.500 0.500 0.500
K 0.000 0.500 0.000
K 0.500 0.000 0.000
Au 0.000 0.000 0.000
Si 0.000 0.000 0.500

final energy	-2.35	eV/atom
space-group type	P4/mmm
N(E_F)	0.445	states/eV per atom

***

8.
Compound: Cs2K3Sn2Au4
Source: Alexandria via LeMat-Bulk
Functional: PBE
Structure: optimized geometry

Cell lengths 5.573, 5.573, 14.691 Å; angles 100.93, 100.93, 90.00 degrees
Fractional positions:
Cs 0.316 0.316 0.632
Cs 0.684 0.684 0.368
K 0.000 0.000 0.000
K 0.132 0.132 0.264
K 0.868 0.868 0.736
Sn 0.447 0.447 0.893
Sn 0.553 0.553 0.107
Au 0.429 0.929 0.857
Au 0.929 0.429 0.857
Au 0.071 0.571 0.143
Au 0.571 0.071 0.143

final energy	-2.61	eV/atom
space-group type	I4/mmm
N(E_F)	0.347	states/eV per atom
formation energy from the elements	-23	kJ per mole of atoms

***

9.
Compound: CsKSr2Au
Source: Alexandria via LeMat-Bulk
Functional: PBE
Structure: optimized geometry

Cell lengths 6.274, 6.274, 7.004 Å; angles 90.00, 90.00, 90.00 degrees
Fractional positions:
Cs 0.500 0.500 0.500
Sr 0.000 0.500 0.000
Sr 0.500 0.000 0.000
K 0.000 0.000 0.500
Au 0.000 0.000 0.000

final energy	-1.91	eV/atom
space-group type	P4/mmm
N(E_F)	0.928	states/eV per atom
formation energy from the elements	-19	kJ per mole of atoms
energy above the lowest structure with this stoichiometry	0.0039	eV/atom

***

10.
Compound: Cs2KSrAu
Source: Alexandria via LeMat-Bulk
Functional: PBE
Structure: optimized geometry

Cell lengths 7.189, 7.189, 6.350 Å; angles 90.00, 90.00, 90.00 degrees
Fractional positions:
Cs 0.000 0.500 0.000
Cs 0.500 0.000 0.000
Sr 0.000 0.000 0.500
K 0.500 0.500 0.500
Au 0.000 0.000 0.000

final energy	-1.69	eV/atom
space-group type	P4/mmm
N(E_F)	0.813	states/eV per atom
formation energy from the elements	-13	kJ per mole of atoms

***

11.
Compound: CsKSr2Au
Source: Alexandria via LeMat-Bulk
Functional: PBE
Structure: optimized geometry

Cell lengths 6.289, 6.289, 7.143 Å; angles 90.00, 90.00, 90.00 degrees
Fractional positions:
Cs 0.000 0.000 0.500
Sr 0.000 0.500 0.000
Sr 0.500 0.000 0.000
K 0.500 0.500 0.500
Au 0.000 0.000 0.000

final energy	-1.92	eV/atom
space-group type	P4/mmm
N(E_F)	0.738	states/eV per atom
formation energy from the elements	-19	kJ per mole of atoms
energy above the lowest structure with this stoichiometry	0.0000	eV/atom

***

12.
Compound: CsK2SrAu
Source: Alexandria via LeMat-Bulk
Functional: PBE
Structure: optimized geometry

Cell lengths 6.827, 6.827, 6.250 Å; angles 90.00, 90.00, 90.00 degrees
Fractional positions:
Cs 0.500 0.500 0.500
Sr 0.000 0.000 0.500
K 0.000 0.500 0.000
K 0.500 0.000 0.000
Au 0.000 0.000 0.000

final energy	-1.74	eV/atom
space-group type	P4/mmm
N(E_F)	0.673	states/eV per atom
formation energy from the elements	-13	kJ per mole of atoms

***

13.
Compound: CsKTe2Au2
Source: Alexandria via LeMat-Bulk
Functional: PBE
Structure: optimized geometry

Cell lengths 4.777, 4.777, 10.705 Å; angles 90.00, 90.00, 120.00 degrees
Fractional positions:
Cs 0.000 0.000 0.000
K 0.000 0.000 0.500
Te 0.667 0.333 0.733
Te 0.333 0.667 0.267
Au 0.667 0.333 0.269
Au 0.333 0.667 0.731

final energy	-3.15	eV/atom
space-group type	P-3m1
N(E_F)	0.066	states/eV per atom

***

14.
Compound: CsKTe2Au
Source: Alexandria via LeMat-Bulk
Functional: PBE
Structure: optimized geometry

Cell lengths 6.321, 8.035, 9.648 Å; angles 114.61, 90.00, 90.00 degrees
Fractional positions:
Cs 0.281 0.750 0.500
Cs 0.719 0.250 0.500
K 0.500 0.750 0.000
K 0.500 0.250 0.000
Te 0.793 0.873 0.745
Te 0.793 0.627 0.255
Te 0.207 0.373 0.745
Te 0.207 0.127 0.255
Au 0.000 0.000 0.000
Au 0.000 0.500 0.000

final energy	-2.91	eV/atom
space-group type	Cmme
N(E_F)	1.385	states/eV per atom

***

15.
Compound: Cs2K4TlAu2
Source: Alexandria via LeMat-Bulk
Functional: PBE
Structure: optimized geometry

Cell lengths 6.407, 8.143, 11.204 Å; angles 105.64, 111.32, 79.60 degrees
Fractional positions:
Cs 0.293 0.700 0.311
Cs 0.707 0.300 0.689
K 0.591 0.750 0.032
K 0.033 0.745 0.682
K 0.409 0.250 0.968
K 0.967 0.255 0.318
Tl 0.000 0.000 0.000
Au 0.933 0.374 0.043
Au 0.067 0.626 0.957

final energy	-1.82	eV/atom
space-group type	P-1
N(E_F)	0.540	states/eV per atom
formation energy from the elements	-14	kJ per mole of atoms

***

16.
Compound: Cs3K2Tl2Au4
Source: Alexandria via LeMat-Bulk
Functional: PBE
Structure: optimized geometry

Cell lengths 5.549, 5.549, 16.887 Å; angles 90.00, 90.00, 120.00 degrees
Fractional positions:
Cs 0.000 0.000 0.689
Cs 0.000 0.000 0.000
Cs 0.000 0.000 0.311
K 0.667 0.333 0.821
K 0.333 0.667 0.179
Tl 0.667 0.333 0.430
Tl 0.333 0.667 0.570
Au 0.667 0.333 0.125
Au 0.333 0.667 0.875
Au 0.667 0.333 0.599
Au 0.333 0.667 0.401

final energy	-2.22	eV/atom
space-group type	P-3m1
N(E_F)	0.467	states/eV per atom
formation energy from the elements	-16	kJ per mole of atoms

***

17.
Compound: CsKTl4Au2
Source: Alexandria via LeMat-Bulk
Functional: PBE
Structure: optimized geometry

Cell lengths 4.726, 4.726, 12.765 Å; angles 90.00, 90.00, 90.00 degrees
Fractional positions:
Cs 0.000 0.000 0.500
K 0.000 0.000 0.000
Tl 0.000 0.500 0.231
Tl 0.500 0.000 0.769
Tl 0.500 0.000 0.231
Tl 0.000 0.500 0.769
Au 0.500 0.500 0.390
Au 0.500 0.500 0.610

final energy	-2.33	eV/atom
space-group type	P4/mmm
N(E_F)	0.441	states/eV per atom
formation energy from the elements	-8	kJ per mole of atoms

***

18.
Compound: CsK2ZnAu
Source: Alexandria via LeMat-Bulk
Functional: PBE
Structure: optimized geometry

Cell lengths 6.548, 6.548, 5.172 Å; angles 90.00, 90.00, 90.00 degrees
Fractional positions:
Cs 0.500 0.500 0.500
Zn 0.000 0.000 0.000
Au 0.000 0.000 0.500
K 0.000 0.500 0.000
K 0.500 0.000 0.000

final energy	-1.51	eV/atom
space-group type	P4/mmm
N(E_F)	0.517	states/eV per atom
formation energy from the elements	1	kJ per mole of atoms
energy above the lowest structure with this stoichiometry	0.0546	eV/atom

***

19.
Compound: CsK2ZnAu
Source: Alexandria via LeMat-Bulk
Functional: PBE
Structure: optimized geometry

Cell lengths 6.553, 6.553, 5.242 Å; angles 90.00, 90.00, 90.00 degrees
Fractional positions:
Cs 0.500 0.500 0.500
Zn 0.000 0.000 0.500
Au 0.000 0.000 0.000
K 0.000 0.500 0.000
K 0.500 0.000 0.000

final energy	-1.57	eV/atom
space-group type	P4/mmm
N(E_F)	0.511	states/eV per atom
formation energy from the elements	-4	kJ per mole of atoms
energy above the lowest structure with this stoichiometry	0.0000	eV/atom

***

20.
Compound: CsK2ZnAu
Source: Alexandria via LeMat-Bulk
Functional: PBE
Structure: optimized geometry

Cell lengths 6.406, 6.406, 6.912 Å; angles 90.00, 90.00, 90.00 degrees
Fractional positions:
Cs 0.000 0.000 0.500
Zn 0.500 0.500 0.500
Au 0.000 0.000 0.000
K 0.000 0.500 0.000
K 0.500 0.000 0.000

final energy	-1.47	eV/atom
space-group type	P4/mmm
N(E_F)	1.064	states/eV per atom
formation energy from the elements	5	kJ per mole of atoms
energy above the lowest structure with this stoichiometry	0.0988	eV/atom